# 1
This record from Alexandria describes a relaxed BaPa2TiN5 crystal. The functional is PBE.

Lattice parameters (Å, degrees): 6.768 6.768 11.607 90.00 90.00 90.00
Space group I4/mcm (No. 140)
Inequivalent atoms, fractional coordinates:
Ba 0.000 0.000 0.250 (multiplicity 4)
Pa 0.181 0.319 0.000 (multiplicity 8)
Ti 0.000 0.500 0.250 (multiplicity 4)
N 0.000 0.000 0.000 (multiplicity 4)
N 0.143 0.357 0.371 (multiplicity 16)

Results
raw total energy: -331.48 eV per cell
uncorrected formation energy: -1.38 eV/atom

# 2
This record from Alexandria describes a relaxed Ba4TmPa3N8 crystal. The functional is PBE.

Lattice parameters (Å, degrees): 7.2410 7.2410 19.3776 90.00 90.00 120.00
Space group R-3m (No. 166, hexagonal axes)
Inequivalent atoms, fractional coordinates:
Ba 0.0000 0.0000 0.0000 (multiplicity 3)
Ba 0.0000 0.5000 0.0000 (multiplicity 9)
Tm 0.0000 0.0000 0.5000 (multiplicity 3)
Pa 0.0000 0.5000 0.5000 (multiplicity 9)
N 0.0000 0.0000 0.2246 (multiplicity 6)
N 0.0137 0.5069 0.7751 (multiplicity 18)

Results
raw total energy: -382.72 eV per cell
uncorrected formation energy: -1.27 eV/atom

# 3
This record from Alexandria describes a relaxed Ba2TmPaN4 crystal. The functional is PBE.

Lattice parameters (Å, degrees): 6.205 3.672 6.722 90.00 108.04 90.00
Space group P2/m (No. 10)
Inequivalent atoms, fractional coordinates:
Ba 0.000 0.000 0.000 (multiplicity 1)
Ba 0.500 0.500 0.000 (multiplicity 1)
Tm 0.000 0.500 0.500 (multiplicity 1)
Pa 0.500 0.000 0.500 (multiplicity 1)
N 0.247 0.000 0.687 (multiplicity 2)
N 0.280 0.500 0.314 (multiplicity 2)

Results
raw total energy: -60.58 eV per cell
uncorrected formation energy: -1.18 eV/atom

# 4
This record from Alexandria describes a relaxed Ba4UPa3N8 crystal. The functional is PBE.

Lattice parameters (Å, degrees): 7.2662 7.2662 19.3079 90.00 90.00 120.00
Space group R-3m (No. 166, hexagonal axes)
Inequivalent atoms, fractional coordinates:
Ba 0.0000 0.0000 0.0000 (multiplicity 3)
Ba 0.0000 0.5000 0.0000 (multiplicity 9)
U 0.0000 0.0000 0.5000 (multiplicity 3)
Pa 0.0000 0.5000 0.5000 (multiplicity 9)
N 0.0000 0.0000 0.2207 (multiplicity 6)
N 0.0067 0.5033 0.2210 (multiplicity 18)

Results
raw total energy: -401.86 eV per cell
uncorrected formation energy: -1.24 eV/atom

# 5
This record from Alexandria describes a relaxed Ba3UPa3N8 crystal. The functional is PBE.

Lattice parameters (Å, degrees): 7.1973 7.1973 19.3908 90.00 90.00 120.00
Space group R-3m (No. 166, hexagonal axes)
Inequivalent atoms, fractional coordinates:
Ba 0.0000 0.5000 0.0000 (multiplicity 9)
U 0.0000 0.0000 0.5000 (multiplicity 3)
Pa 0.0000 0.5000 0.5000 (multiplicity 9)
N 0.0000 0.0000 0.2240 (multiplicity 6)
N 0.0084 0.5042 0.2185 (multiplicity 18)

Results
raw total energy: -394.31 eV per cell
uncorrected formation energy: -1.29 eV/atom

# 6
This record from Alexandria describes a relaxed Ba2UPaN4 crystal. The functional is PBE.

Lattice parameters (Å, degrees): 6.260 3.624 6.752 90.00 108.00 90.00
Space group P2/m (No. 10)
Inequivalent atoms, fractional coordinates:
Ba 0.000 0.000 0.000 (multiplicity 1)
Ba 0.500 0.500 0.000 (multiplicity 1)
U 0.000 0.500 0.500 (multiplicity 1)
Pa 0.500 0.000 0.500 (multiplicity 1)
N 0.215 0.000 0.662 (multiplicity 2)
N 0.272 0.500 0.339 (multiplicity 2)

Results
raw total energy: -67.42 eV per cell
uncorrected formation energy: -1.19 eV/atom

# 7
This record from Alexandria describes a relaxed Ba3Pa3WN8 crystal. The functional is PBE.

Lattice parameters (Å, degrees): 6.9883 6.9883 19.2673 90.00 90.00 120.00
Space group R-3m (No. 166, hexagonal axes)
Inequivalent atoms, fractional coordinates:
Ba 0.0000 0.5000 0.0000 (multiplicity 9)
Pa 0.0000 0.5000 0.5000 (multiplicity 9)
W 0.0000 0.0000 0.5000 (multiplicity 3)
N 0.0000 0.0000 0.2254 (multiplicity 6)
N 0.0208 0.5104 0.2205 (multiplicity 18)

Results
raw total energy: -389.92 eV per cell
uncorrected formation energy: -1.08 eV/atom

# 8
This record from Alexandria describes a relaxed Ba2PaW2N6 crystal. The functional is PBE.

Lattice parameters (Å, degrees): 10.946 6.143 7.315 90.00 123.89 90.00
Space group C2/m (No. 12)
Inequivalent atoms, fractional coordinates:
Ba 0.210 0.000 0.179 (multiplicity 4)
Pa 0.000 0.000 0.500 (multiplicity 2)
W 0.043 0.500 0.211 (multiplicity 4)
N 0.042 0.248 0.757 (multiplicity 8)
N 0.245 0.500 0.359 (multiplicity 4)

Results
raw total energy: -199.41 eV per cell
uncorrected formation energy: -0.96 eV/atom

# 9
This record from Alexandria describes a relaxed BaPa3W4N12 crystal. The functional is PBE.

Lattice parameters (Å, degrees): 11.6064 11.6064 9.0858 90.00 90.00 120.00
Space group R32 (No. 155, hexagonal axes)
Inequivalent atoms, fractional coordinates:
Ba 0.0000 0.0000 0.0000 (multiplicity 3)
Pa 0.0000 0.5670 0.0000 (multiplicity 9)
W 0.0000 0.0000 0.5000 (multiplicity 3)
W 0.0000 0.4221 0.5000 (multiplicity 9)
N 0.0000 0.5838 0.5000 (multiplicity 9)
N 0.0000 0.8392 0.5000 (multiplicity 9)
N 0.0627 0.2321 0.1870 (multiplicity 18)

Results
raw total energy: -584.76 eV per cell
uncorrected formation energy: -0.64 eV/atom

# 10
This record from Alexandria describes a relaxed Ba4Pa3WN8 crystal. The functional is PBE.

Lattice parameters (Å, degrees): 7.0782 7.0782 19.1696 90.00 90.00 120.00
Space group R-3m (No. 166, hexagonal axes)
Inequivalent atoms, fractional coordinates:
Ba 0.0000 0.0000 0.0000 (multiplicity 3)
Ba 0.0000 0.5000 0.0000 (multiplicity 9)
Pa 0.0000 0.5000 0.5000 (multiplicity 9)
W 0.0000 0.0000 0.5000 (multiplicity 3)
N 0.0000 0.0000 0.2226 (multiplicity 6)
N 0.0180 0.5090 0.2225 (multiplicity 18)

Results
raw total energy: -396.22 eV per cell
uncorrected formation energy: -1.02 eV/atom

# 11
This record from Alexandria describes a relaxed BaPaWN4 crystal. The functional is PBE.

Lattice parameters (Å, degrees): 6.132 5.929 7.519 90.00 107.47 90.00
Space group P2_1/m (No. 11)
Inequivalent atoms, fractional coordinates:
Ba 0.207 0.250 0.427 (multiplicity 2)
Pa 0.300 0.250 0.954 (multiplicity 2)
W 0.241 0.750 0.161 (multiplicity 2)
N 0.024 0.750 0.932 (multiplicity 2)
N 0.042 0.750 0.311 (multiplicity 2)
N 0.459 0.509 0.182 (multiplicity 4)

Results
raw total energy: -128.67 eV per cell
uncorrected formation energy: -0.95 eV/atom

# 12
This record from Alexandria describes a relaxed Ba2PaWN6 crystal. The functional is PBE.

Lattice parameters (Å, degrees): 8.572 8.572 8.572 90.00 90.00 90.00
Space group Fm-3m (No. 225)
Inequivalent atoms, fractional coordinates:
Ba 0.250 0.250 0.250 (multiplicity 8)
Pa 0.000 0.000 0.000 (multiplicity 4)
W 0.000 0.000 0.500 (multiplicity 4)
N 0.000 0.000 0.263 (multiplicity 24)

Results
raw total energy: -330.97 eV per cell
uncorrected formation energy: -0.65 eV/atom

Which of these has the highest raw total energy?
Ba2TmPaN4